A relaxed LuHfCuPd crystal. Source: OQMD via LeMat-Bulk, functional PBE.

The structure in CIF format:
```
data_LuHfCuPd
_chemical_formula_sum 'Lu4 Hf4 Cu4 Pd4'
_space_group_name_H-M_alt 'F -4 3 m'
_space_group_IT_number 216
_space_group_name_Hall 'F -4 2 3'
_cell_length_a 6.698
_cell_length_b 6.698
_cell_length_c 6.698
_cell_angle_alpha 90.00
_cell_angle_beta 90.00
_cell_angle_gamma 90.00
loop_
_atom_site_label
_atom_site_type_symbol
_atom_site_fract_x
_atom_site_fract_y
_atom_site_fract_z
Lu1 Lu 0.000 0.000 0.000
Hf1 Hf 0.000 0.000 0.500
Cu1 Cu 0.250 0.250 0.750
Pd1 Pd 0.250 0.250 0.250
```

Calculated total energy: -6.299 eV/atom
Energy above the lowest structure with this stoichiometry: 0 meV per atom
Energy relative to the elements: -176 kJ/mol of formula units